Compound: La2SmHg6
Source: the Alexandria database
Functional: PBE-GGA
Structure: relaxed

Summary:
SG: P6/mmm (191)

Cell: 3.5201 8.8091 8.8091 Å, 120.00 90.00 90.00°
Last column: nearest neighbours and their distance in Å.
Element x y z (fractional)
La  0.0000  0.3333  0.6667  12 Hg 3.43, 2 La 3.52
La  0.0000  0.6667  0.3333  12 Hg 3.43, 2 La 3.52
Sm  0.0000  0.0000  0.0000  12 Hg 3.41, 2 Sm 3.52
Hg  0.5000  0.3310  0.3310  3 Hg 2.92-2.98
Hg  0.5000  0.6690  0.6690  3 Hg 2.92-2.98
Hg  0.5000  0.0000  0.6690  3 Hg 2.92-2.98
Hg  0.5000  0.6690  0.0000  3 Hg 2.92-2.98
Hg  0.5000  0.3310  0.0000  3 Hg 2.92-2.98
Hg  0.5000  0.0000  0.3310  3 Hg 2.92-2.98



Compound: La8Sm2Hg
Source: the Alexandria database
Functional: PBE-GGA
Structure: relaxed

Summary:
SG: C2/m (12)

Cell: 5.8443 6.6436 10.4366 Å, 93.85 106.26 90.00°
Last column: nearest neighbours and their distance in Å.
Element x y z (fractional)
La  0.4182  0.3977  0.8365  1 Hg 3.20, 3 La 3.46-3.47
La  0.6600  0.1203  0.3200  1 Hg 3.25, 2 Sm 3.55, 2 La 3.63
La  0.8448  0.2054  0.6896  6 La 3.47-3.88, 4 Sm 3.56-3.83
La  0.9611  0.7449  0.9223  2 Hg 3.44, 4 La 3.63-3.78
La  0.1552  0.7946  0.3104  6 La 3.47-3.88, 4 Sm 3.56-3.83
La  0.3400  0.8797  0.6800  1 Hg 3.25, 2 Sm 3.55, 2 La 3.63
La  0.5818  0.6023  0.1635  1 Hg 3.20, 3 La 3.46-3.47
La  0.0389  0.2551  0.0777  2 Hg 3.44, 4 La 3.63-3.78
Sm  0.7639  0.6658  0.5277  9 La 3.55-3.95, 2 Sm 3.68
Sm  0.2361  0.3342  0.4723  9 La 3.55-3.95, 2 Sm 3.68
Hg  0.5000  0.0000  0.0000  8 La 3.20-3.44



Number 1: ΔE_f -461 meV/atom, total energy -2.28 eV/atom. Number 2: ΔE_f -55 meV/atom, total energy -4.52 eV/atom.